Record 1
# DyPaNi17

An optimized crystal structure of DyPaNi17 (GGA-PBE, the Alexandria database).

Unit cell a=8.2561 b=8.2561 c=12.0647 alpha=90.00 beta=90.00 gamma=120.00
Closest atoms and distances in Å follow each position.
Space group R3m (No. 160, hexagonal axes)
Asymmetric unit:
1 Dy 0.0000 0.0000 0.0000 [3 per cell]  19 Ni 2.90-3.16
2 Pa 0.0000 0.0000 0.6745 [3 per cell]  13 Ni 2.82-3.04
3 Ni 0.0000 0.0000 0.2402 [3 per cell]  7 Ni 2.42-2.61
4 Ni 0.0000 0.0000 0.4408 [3 per cell]  7 Ni 2.42-2.55
5 Ni 0.0013 0.5007 0.1841 [9 per cell]  9 Ni 2.39-2.55
6 Ni 0.0023 0.2982 0.3375 [18 per cell]  8 Ni 2.37-2.51
7 Ni 0.0029 0.5014 0.8366 [9 per cell]  10 Ni 2.37-2.52
8 Ni 0.0050 0.5025 0.4914 [9 per cell]  9 Ni 2.39-2.61

**Crystal system**: trigonal
**Energy of formation from the pure elements**: -21 kJ per mole of atoms


Record 2
# TbTe2

An optimized crystal structure of TbTe2 (GGA-PBE, the Alexandria database).

Unit cell a=5.6862 b=5.6835 c=5.9706 alpha=90.00 beta=118.41 gamma=90.00
Closest atoms and distances in Å follow each position.
Space group C2/m (No. 12)
Asymmetric unit:
1 Tb 0.0000 0.0000 0.0000 [2 per cell]  8 Te 3.24-3.26
2 Te 0.1516 0.5000 0.3004 [4 per cell]  4 Te 3.16-3.53, 4 Tb 3.24-3.26

**E_form (uncorrected)**: -1.0148 eV/atom
**Crystal system**: monoclinic


Record 3
# Ba2HgPtAu

An optimized crystal structure of Ba2HgPtAu (GGA-PBE, the Alexandria database).

Unit cell a=6.0591 b=6.0591 c=5.1983 alpha=90.00 beta=90.00 gamma=90.00
Closest atoms and distances in Å follow each position.
Space group P4/mmm (No. 123)
Asymmetric unit:
1 Ba 0.0000 0.5000 0.0000 [2 per cell]  2 Pt 3.03
2 Hg 0.0000 0.0000 0.5000 [1 per cell]  8 Ba 3.99, 4 Au 4.28
3 Pt 0.5000 0.5000 0.0000 [1 per cell]  2 Au 2.60
4 Au 0.5000 0.5000 0.5000 [1 per cell]  2 Pt 2.60

**Energy relative to the lowest polymorph listed for this composition**: 172.3 meV per atom
**Crystal system**: tetragonal
**Energy of formation from the pure elements**: -45 kJ per mole of atoms


Record 4
# K3HfIn

An optimized crystal structure of K3HfIn (GGA-PBE, the Alexandria database).

Unit cell a=6.6902 b=6.6902 c=6.6902 alpha=90.00 beta=90.00 gamma=90.00
Closest atoms and distances in Å follow each position.
Space group Pm-3m (No. 221)
Asymmetric unit:
1 K 0.0000 0.0000 0.5000 [3 per cell]  2 Hf 3.35
2 Hf 0.0000 0.0000 0.0000 [1 per cell]  6 K 3.35
3 In 0.5000 0.5000 0.5000 [1 per cell]  12 K 4.73

**Energy relative to the lowest polymorph listed for this composition**: 95.8 meV per atom
**Crystal system**: cubic
**Energy of formation from the pure elements**: 124 kJ per mole of atoms


Record 5
# Rb2RhAuN

An optimized crystal structure of Rb2RhAuN (GGA-PBE, the Alexandria database).

Unit cell a=6.2666 b=6.2666 c=3.7069 alpha=90.00 beta=90.00 gamma=90.00
Closest atoms and distances in Å follow each position.
Space group P4/mmm (No. 123)
Asymmetric unit:
1 Rb 0.0000 0.5000 0.0000 [2 per cell]  2 N 3.13
2 Rh 0.0000 0.0000 0.5000 [1 per cell]  2 N 1.85
3 Au 0.5000 0.5000 0.5000 [1 per cell]  8 Rb 3.64, 2 Au 3.71
4 N 0.0000 0.0000 0.0000 [1 per cell]  2 Rh 1.85

**E_form (uncorrected)**: 0.0578 eV/atom
**Crystal system**: tetragonal


Record 6
# YSc2Re

An optimized crystal structure of YSc2Re (GGA-PBE, the Alexandria database).

Unit cell a=4.9119 b=4.9119 c=7.0256 alpha=90.00 beta=90.00 gamma=90.00
Closest atoms and distances in Å follow each position.
Space group I-4m2 (No. 119)
Asymmetric unit:
1 Y 0.0000 0.0000 0.0000 [2 per cell]  4 Re 3.02, 4 Sc 3.02
2 Sc 0.0000 0.0000 0.5000 [2 per cell]  4 Re 3.02, 4 Sc 3.02
3 Sc 0.0000 0.5000 0.2500 [2 per cell]  4 Sc 3.02, 4 Y 3.02
4 Re 0.0000 0.5000 0.7500 [2 per cell]  4 Sc 3.02, 4 Y 3.02

**Energy relative to the lowest polymorph listed for this composition**: 144.3 meV per atom
**Crystal system**: tetragonal
**Energy of formation from the pure elements**: 15 kJ per mole of atoms


Record 7
# AsSeBr3

An optimized crystal structure of AsSeBr3 (GGA-PBE, the Alexandria database).

Unit cell a=3.9940 b=7.6724 c=13.5050 alpha=82.24 beta=87.08 gamma=75.35
Closest atoms and distances in Å follow each position.
Space group P1 (No. 1)
Asymmetric unit:
1 As 0.0000 0.0000 0.0000 [1 per cell]  3 Br 2.36-2.48
2 As 0.4126 0.9055 0.6902 [1 per cell]  3 Br 2.36-2.48
3 Se 0.6456 0.5697 0.3874 [1 per cell]  1 Se 2.19
4 Se 0.7749 0.3344 0.3038 [1 per cell]  1 Se 2.19
5 Br 0.1496 0.6516 0.6813 [1 per cell]  1 As 2.45
6 Br 0.2630 0.2541 0.0088 [1 per cell]  1 As 2.46
7 Br 0.4145 0.0184 0.5186 [1 per cell]  1 As 2.36
8 Br 0.5072 0.7669 0.9476 [1 per cell]  1 As 2.48
9 Br 0.9057 0.1385 0.7428 [1 per cell]  1 As 2.48
10 Br 0.9979 0.8872 0.1716 [1 per cell]  1 As 2.36

**E_form (uncorrected)**: -0.2439 eV/atom
**Energy relative to the lowest polymorph listed for this composition**: 0.0 meV per atom
**Crystal system**: triclinic


Record 8
# La2Pm3Dy2

An optimized crystal structure of La2Pm3Dy2 (GGA-PBE, the Alexandria database).

Unit cell a=3.6547 b=8.1278 c=8.9743 alpha=68.43 beta=89.95 gamma=77.08
Closest atoms and distances in Å follow each position.
Space group P-1 (No. 2)
Asymmetric unit:
1 La 0.2149 0.0703 0.1441 [2 per cell]  5 Pm 3.64-3.68, 3 Dy 3.65-3.69, 4 La 3.65-3.67
2 Pm 0.3595 0.7816 0.5704 [2 per cell]  4 Dy 3.59-3.63, 3 La 3.64-3.68, 5 Pm 3.65-3.69
3 Pm 0.5000 0.5000 0.0000 [1 per cell]  4 La 3.64-3.65, 4 Pm 3.65, 4 Dy 3.66
4 Dy 0.0698 0.3606 0.7118 [2 per cell]  6 Pm 3.59-3.66, 3 Dy 3.61-3.65, 3 La 3.65-3.69

**Energy relative to the lowest polymorph listed for this composition**: 0.0 meV per atom
**Crystal system**: triclinic
**Energy of formation from the pure elements**: 2 kJ per mole of atoms


Number 7 is which compound?
AsSeBr3